No. 1
The following is a DFT calculation (PBE-GGA) of a relaxed structure of Ba8Al2Ag.

```
Ba8Al2Ag
1.0
5.5303 0.0000 -1.6831
-1.5347 8.8790 -5.0428
0.0499 -0.2643 10.0911
Ag Al Ba
1 2 8
direct
0.5000 0.0000 0.0000
0.8022 0.3022 0.6044
0.1978 0.6978 0.3956
0.3412 0.1293 0.6825
0.3412 0.5531 0.6825
0.0000 0.3363 0.0000
0.6588 0.8707 0.3175
0.8693 0.8693 0.7386
0.0000 0.6637 0.0000
0.1307 0.1307 0.2614
0.6588 0.4469 0.3175
```

Summary:
As for the energy of formation from the pure elements: -0.01 eV per atom. The calculation puts the density of states at the Fermi level at 11.73 states/eV/f.u. As for the space-group type: Immm.

---

No. 2
The following is a DFT calculation (PBE-GGA) of a relaxed structure of DyBeIr.

```
DyBeIr
1.0
-1.3950 1.6898 -3.4875
-4.7250 -5.4444 -0.7480
-4.5959 3.5028 3.5356
Ir Dy Be
4 4 4
direct
0.2500 0.4269 0.6801
0.2500 0.0731 0.1801
0.7500 0.5731 0.3199
0.7500 0.9269 0.8199
0.7500 0.1928 0.5019
0.7500 0.3072 0.0019
0.2500 0.8072 0.4981
0.2500 0.6928 0.9981
0.7500 0.5908 0.6781
0.7500 0.9092 0.1781
0.2500 0.0908 0.8219
0.2500 0.4092 0.3219
```

Summary:
As for the energy of formation from the pure elements: -0.65 eV per atom. The calculation puts the density of states at the Fermi level at 1.35 states/eV/f.u. As for the space-group type: Pnma.

---

No. 3
The following is a DFT calculation (PBE-GGA) of a relaxed structure of ScZn2Sn2.

```
ScZn2Sn2
1.0
7.8335 0.0000 0.0000
0.0000 7.8335 0.0000
0.0000 0.0000 3.5585
Sc Zn Sn
2 4 4
direct
0.5000 0.5000 0.0000
0.0000 0.0000 0.0000
0.3466 0.1534 0.5000
0.1534 0.6534 0.5000
0.6534 0.8466 0.5000
0.8466 0.3466 0.5000
0.3534 0.8534 0.0000
0.1466 0.3534 0.0000
0.8534 0.6466 0.0000
0.6466 0.1466 0.0000
```

Summary:
As for the energy of formation from the pure elements: -0.03 eV per atom. The calculation puts the density of states at the Fermi level at 3.01 states/eV/f.u. As for the space-group type: P4/mbm.

---

No. 4
The following is a DFT calculation (PBE-GGA) of a relaxed structure of Mn4TlSi.

```
Mn4TlSi
1.0
-0.2089 3.2559 3.6627
1.7251 4.5445 -0.6569
-3.1051 3.7882 -0.2601
Mn Si Tl
4 1 1
direct
0.1280 0.6240 0.6240
0.6240 0.6240 0.1280
0.6240 0.1280 0.6240
0.6240 0.6240 0.6240
0.2500 0.2500 0.2500
0.0000 0.0000 0.0000
```

Summary:
The calculation puts the density of states at the Fermi level at 7.34 states/eV/f.u. The formation energy without anion corrections is 0.5109 eV/atom. As for the space-group type: F-43m.

---

No. 5
The following is a DFT calculation (PBE-GGA) of a relaxed structure of PtW2Se.

```
PtW2Se
1.0
4.9830 0.0000 0.0000
1.8084 4.6433 0.0000
-3.3957 -2.3216 2.8124
Pt Se W
1 1 2
direct
0.5000 0.5000 0.0000
0.7500 0.2500 0.5000
0.0000 0.0000 0.0000
0.2500 0.7500 0.5000
```

Summary:
The calculation puts the density of states at the Fermi level at 5.26 states/eV/f.u. The formation energy without anion corrections is 0.5891 eV/atom. As for the space-group type: I-4m2.

---

No. 6
The following is a DFT calculation (PBE-GGA) of a relaxed structure of Pr3B2SbPt9.

```
Pr3B2SbPt9
1.0
-3.3517 -4.6177 -1.4060
5.1565 -0.8242 2.6952
-4.3151 0.5657 8.4287
Pt Pr B Sb
9 3 2 1
direct
0.0000 0.5000 0.0000
0.5000 0.5000 0.0000
0.1684 0.3368 0.2789
0.8316 0.1684 0.7211
0.3368 0.1684 0.7211
0.5000 0.0000 0.0000
0.8316 0.6632 0.7211
0.1684 0.8316 0.2789
0.6632 0.8316 0.2789
0.3333 0.6667 0.6156
0.0000 0.0000 0.0000
0.6667 0.3333 0.3844
0.3333 0.6667 0.1429
0.6667 0.3333 0.8571
0.0000 0.0000 0.5000
```

Summary:
The calculation puts the density of states at the Fermi level at 3.57 states/eV/f.u. The formation energy without anion corrections is -0.7561 eV/atom. As for the space-group type: P-3m1.

---

No. 7
The following is a DFT calculation (PBE-GGA) of a relaxed structure of GaBOs3.

```
GaBOs3
1.0
4.0955 0.0000 0.0000
0.0000 4.0955 0.0000
0.0000 0.0000 4.0955
Os B Ga
3 1 1
direct
0.5000 0.0000 0.0000
0.0000 0.5000 0.0000
0.0000 0.0000 0.5000
0.0000 0.0000 0.0000
0.5000 0.5000 0.5000
```

Summary:
As for the energy of formation from the pure elements: 0.37 eV per atom. The calculation puts the density of states at the Fermi level at 3.62 states/eV/f.u. As for the space-group type: Pm-3m.

---

No. 8
The following is a DFT calculation (PBE-GGA) of a relaxed structure of SrErTlZn.

```
SrErTlZn
1.0
5.4130 0.0000 0.0000
2.7065 4.6878 0.0000
2.7065 1.5626 4.4197
Er Sr Zn Tl
1 1 1 1
direct
0.2500 0.2500 0.2500
0.7500 0.7500 0.7500
0.0000 0.0000 0.0000
0.5000 0.5000 0.5000
```

Summary:
As for the energy of formation from the pure elements: -0.25 eV per atom. The calculation puts the density of states at the Fermi level at 2.50 states/eV/f.u. As for the space-group type: F-43m.